*A*
This record from the Alexandria database describes a relaxed structure of MgAu2Se. The functional is PBE.

Computed properties:
DOS at the Fermi energy in states/eV per cell: 2.38
Space-group type: I-42d (122)
Crystal system: tetragonal
ρ in g/cm3: 10.2

Cell lengths 10.9954, 10.9954, 10.9954 Å; angles 159.58, 159.58, 29.04 degrees
Positions (direct):
Mg 0.0000 0.0000 0.0000
Mg 0.7500 0.2500 0.5000
Au 0.1221 0.6250 0.9971
Au 0.3750 0.3721 0.4971
Au 0.6279 0.1250 0.0029
Au 0.8750 0.8779 0.5029
Se 0.2500 0.7500 0.5000
Se 0.5000 0.5000 0.0000

=====

*B*
This record from the Alexandria database describes a relaxed structure of MgAu2Se. The functional is PBE.

Computed properties:
DOS at the Fermi energy in states/eV per cell: 1.51
Space-group type: R3m (160)
Crystal system: trigonal
ρ in g/cm3: 9.7

Cell lengths 6.4039, 6.4039, 6.4039 Å; angles 36.95, 36.95, 36.95 degrees
Positions (direct):
Mg 0.0000 0.0000 0.0000
Au 0.2466 0.2466 0.2466
Au 0.4981 0.4981 0.4981
Se 0.7408 0.7408 0.7408

=====

*C*
This record from the Alexandria database describes a relaxed structure of MgAu2Se. The functional is PBE.

Computed properties:
DOS at the Fermi energy in states/eV per cell: 0.91
Space-group type: Cm (8)
Crystal system: monoclinic
ρ in g/cm3: 8.5

Cell lengths 4.2022, 4.2022, 6.4220 Å; angles 90.06, 90.06, 58.64 degrees
Positions (direct):
Mg 0.0000 0.0000 0.0000
Au 0.3423 0.3423 0.5472
Au 0.6691 0.6691 0.7530
Se 0.3295 0.3295 0.1590

=====

*D*
This record from the Alexandria database describes a relaxed structure of MgAu2Se. The functional is PBE.

Computed properties:
DOS at the Fermi energy in states/eV per cell: 0.96
Space-group type: Immm (71)
Crystal system: orthorhombic
ρ in g/cm3: 10.7

Cell lengths 5.7074, 5.7074, 5.7074 Å; angles 139.81, 139.61, 58.29 degrees
Positions (direct):
Mg 0.0000 0.0000 0.0000
Au 0.2464 0.7464 0.5000
Au 0.7536 0.2536 0.5000
Se 0.5000 0.5000 0.0000

=====

Most stable: *A*